Material: PdPt7
Method: DFT, PBE-GGA
State: optimized geometry

Output
energy = -47.7 eV/cell
space group = Fm-3m, No. 225
DFT formation energy = -0.018 eV/atom

POSCAR file:
```
PdPt7
1.0
0.0000 3.9676 3.9676
3.9676 0.0000 3.9676
3.9676 3.9676 0.0000
Pd Pt
1 7
direct
0.5000 0.5000 0.5000 Pd
0.0000 0.0000 0.0000 Pt
0.5000 0.0000 0.0000 Pt
0.0000 0.5000 0.0000 Pt
0.5000 0.5000 0.0000 Pt
0.0000 0.0000 0.5000 Pt
0.5000 0.0000 0.5000 Pt
0.0000 0.5000 0.5000 Pt
```

***

Material: TlGe2Au2
Method: DFT, PBE-GGA
State: optimized geometry

Output
energy relative to the lowest polymorph listed for this composition = 30 meV/atom
energy = -17.9 eV/cell
space group = I4/mmm, No. 139

POSCAR file:
```
TlGe2Au2
1.0
-2.3082 2.3082 5.4126
2.3082 -2.3082 5.4126
2.3082 2.3082 -5.4126
Au Ge Tl
2 2 1
direct
0.3700 0.3700 0.0000 Au
0.6300 0.6300 0.0000 Au
0.7500 0.2500 0.5000 Ge
0.2500 0.7500 0.5000 Ge
0.0000 0.0000 0.0000 Tl
```

***

Material: YFeAsAu
Method: DFT, PBE-GGA
State: optimized geometry

Output
energy relative to the lowest polymorph listed for this composition = 0 meV/atom
energy = -24.0 eV/cell
space group = F-43m, No. 216

POSCAR file:
```
YFeAsAu
1.0
0.0000 3.3175 3.3175
3.3175 0.0000 3.3175
3.3175 3.3175 0.0000
As Au Fe Y
1 1 1 1
direct
0.0000 0.0000 0.0000 As
0.5000 0.5000 0.5000 Au
0.7500 0.7500 0.7500 Fe
0.2500 0.2500 0.2500 Y
```

***

Material: Ho5Lu3Te
Method: DFT, PBE-GGA
State: optimized geometry

Output
energy relative to the lowest polymorph listed for this composition = 0 meV/atom
energy = -42.1 eV/cell
space group = P-62m, No. 189

POSCAR file:
```
Ho5Lu3Te
1.0
-8.1370 -3.3740 -2.3083
6.7925 0.0565 -6.0648
1.0688 -3.3750 1.1656
Ho Lu Te
5 3 1
direct
0.2760 0.0000 0.5000 Ho
0.0000 0.2760 0.5000 Ho
0.6667 0.3333 0.5000 Ho
0.3333 0.6667 0.5000 Ho
0.7240 0.7240 0.5000 Ho
0.6155 0.0000 0.0000 Lu
0.3845 0.3845 0.0000 Lu
0.0000 0.6155 0.0000 Lu
0.0000 0.0000 0.0000 Te
```